A plane-wave DFT calculation with PBE was carried out for a relaxed structure of LaAl4OsAu2.

```
8
Lattice="2.175 1.256 9.278 -2.175 1.256 9.278 0.000 -2.511 9.278" Properties=species:S:1:pos:R:3 pbc="T T T"
La 0.000 0.000 0.000
Al 0.000 0.000 3.873
Al 0.000 0.000 11.302
Al 0.000 0.000 16.533
Al 0.000 0.000 23.962
Os 0.000 0.000 13.918
Au 0.000 0.000 6.645
Au 0.000 0.000 21.190
```

Crystal system = trigonal
DOS at the Fermi energy = 2.72 states/eV/f.u.
Space-group type = No. 166

***

A plane-wave DFT calculation with PBE was carried out for a relaxed structure of Ce5PaRu6.

```
12
Lattice="4.102 -7.026 0.000 4.102 7.026 0.000 -2.714 0.000 4.313" Properties=species:S:1:pos:R:3 pbc="T T T"
Ce 0.000 0.000 0.000
Ce 2.745 4.738 2.157
Ce 4.102 2.459 0.000
Ce 4.102 -2.459 0.000
Ce 2.745 -4.738 2.157
Pa 2.745 0.000 2.157
Ru 1.382 2.174 1.348
Ru 0.199 0.000 3.221
Ru 1.382 -2.174 1.348
Ru 4.108 2.174 2.965
Ru 5.291 0.000 1.093
Ru 4.108 -2.174 2.965
```

Crystal system = monoclinic
DOS at the Fermi energy = 12.36 states/eV/f.u.
Space-group type = No. 12

***

no.,DFT formation energy (eV per atom)
1,-0.459
2,-0.352